(1)
Density functional theory data (PBE-GGA) for a relaxed GaHg2PdPb crystal.

Cell: 5.277 5.277 4.775 Å, 90.00 90.00 90.00°
Space group P4/mmm (No. 123)
Symmetry-distinct sites (fractional):
1 Ga 0.000 0.000 0.000 [1 per cell]
2 Hg 0.000 0.500 0.500 [2 per cell]
3 Pd 0.000 0.000 0.500 [1 per cell]
4 Pb 0.500 0.500 0.000 [1 per cell]

DFT formation energy   0.0447 eV/atom

(2)
Density functional theory data (PBE-GGA) for a relaxed PmGaHgPb crystal.

Cell: 7.484 7.484 7.484 Å, 90.00 90.00 90.00°
Space group F-43m (No. 216)
Symmetry-distinct sites (fractional):
1 Pm 0.000 0.000 0.000 [4 per cell]
2 Ga 0.250 0.250 0.250 [4 per cell]
3 Hg 0.250 0.250 0.750 [4 per cell]
4 Pb 0.000 0.000 0.500 [4 per cell]

DFT formation energy   -0.2610 eV/atom

(3)
Density functional theory data (PBE-GGA) for a relaxed RbGaHg2Pb crystal.

Cell: 5.541 5.541 5.658 Å, 90.00 90.00 90.00°
Space group P4/mmm (No. 123)
Symmetry-distinct sites (fractional):
1 Rb 0.000 0.000 0.000 [1 per cell]
2 Ga 0.500 0.500 0.500 [1 per cell]
3 Hg 0.000 0.500 0.500 [2 per cell]
4 Pb 0.500 0.500 0.000 [1 per cell]

DFT formation energy   0.0087 eV/atom

(4)
Density functional theory data (PBE-GGA) for a relaxed RbGaHgPb crystal.

Cell: 7.864 7.864 7.864 Å, 90.00 90.00 90.00°
Space group F-43m (No. 216)
Symmetry-distinct sites (fractional):
1 Rb 0.000 0.000 0.000 [4 per cell]
2 Ga 0.250 0.250 0.250 [4 per cell]
3 Hg 0.250 0.250 0.750 [4 per cell]
4 Pb 0.000 0.000 0.500 [4 per cell]

DFT formation energy   0.0191 eV/atom

(5)
Density functional theory data (PBE-GGA) for a relaxed GaReHgPb2 crystal.

Cell: 5.308 5.308 5.415 Å, 90.00 90.00 90.00°
Space group P4/mmm (No. 123)
Symmetry-distinct sites (fractional):
1 Ga 0.000 0.000 0.000 [1 per cell]
2 Re 0.500 0.500 0.500 [1 per cell]
3 Hg 0.500 0.500 0.000 [1 per cell]
4 Pb 0.000 0.500 0.500 [2 per cell]

DFT formation energy   0.6468 eV/atom

(6)
Density functional theory data (PBE-GGA) for a relaxed GaHgRh2Pb crystal.

Cell: 4.667 4.667 5.272 Å, 90.00 90.00 90.00°
Space group P4/mmm (No. 123)
Symmetry-distinct sites (fractional):
1 Ga 0.000 0.000 0.000 [1 per cell]
2 Hg 0.500 0.500 0.500 [1 per cell]
3 Rh 0.000 0.500 0.000 [2 per cell]
4 Pb 0.000 0.000 0.500 [1 per cell]

DFT formation energy   0.5680 eV/atom

(7)
Density functional theory data (PBE-GGA) for a relaxed Ga2HgRhPb crystal.

Cell: 4.810 4.810 5.449 Å, 90.00 90.00 90.00°
Space group P4/mmm (No. 123)
Symmetry-distinct sites (fractional):
1 Ga 0.000 0.500 0.000 [2 per cell]
2 Hg 0.000 0.000 0.500 [1 per cell]
3 Rh 0.500 0.500 0.000 [1 per cell]
4 Pb 0.500 0.500 0.500 [1 per cell]

DFT formation energy   -0.1223 eV/atom

(8)
Density functional theory data (PBE-GGA) for a relaxed GaHg2RuPb crystal.

Cell: 5.742 5.742 5.212 Å, 90.00 90.00 90.00°
Space group P4/mmm (No. 123)
Symmetry-distinct sites (fractional):
1 Ga 0.000 0.000 0.000 [1 per cell]
2 Hg 0.000 0.500 0.500 [2 per cell]
3 Ru 0.500 0.500 0.000 [1 per cell]
4 Pb 0.500 0.500 0.500 [1 per cell]

DFT formation energy   1.0587 eV/atom

(9)
Density functional theory data (PBE-GGA) for a relaxed SmGaHgPb crystal.

Cell: 7.470 7.470 7.470 Å, 90.00 90.00 90.00°
Space group F-43m (No. 216)
Symmetry-distinct sites (fractional):
1 Sm 0.000 0.000 0.000 [4 per cell]
2 Ga 0.250 0.250 0.250 [4 per cell]
3 Hg 0.250 0.250 0.750 [4 per cell]
4 Pb 0.000 0.000 0.500 [4 per cell]

DFT formation energy   -0.2487 eV/atom

(10)
Density functional theory data (PBE-GGA) for a relaxed Ga2SnHgPb crystal.

Cell: 5.100 5.100 5.945 Å, 90.00 90.00 90.00°
Space group P4/mmm (No. 123)
Symmetry-distinct sites (fractional):
1 Ga 0.000 0.500 0.000 [2 per cell]
2 Sn 0.000 0.000 0.500 [1 per cell]
3 Hg 0.500 0.500 0.000 [1 per cell]
4 Pb 0.500 0.500 0.500 [1 per cell]

DFT formation energy   0.4305 eV/atom

(11)
Density functional theory data (PBE-GGA) for a relaxed SrGaHgPb crystal.

Cell: 7.671 7.671 7.671 Å, 90.00 90.00 90.00°
Space group F-43m (No. 216)
Symmetry-distinct sites (fractional):
1 Sr 0.000 0.000 0.000 [4 per cell]
2 Ga 0.250 0.250 0.750 [4 per cell]
3 Hg 0.250 0.250 0.250 [4 per cell]
4 Pb 0.000 0.000 0.500 [4 per cell]

DFT formation energy   -0.2829 eV/atom

(12)
Density functional theory data (PBE-GGA) for a relaxed Sr3GaHg6Pb2 crystal.

Cell: 6.4343 6.4343 9.8003 Å, 90.00 90.00 120.00°
Space group P-3m1 (No. 164)
Symmetry-distinct sites (fractional):
1 Sr 0.0000 0.0000 0.0000 [1 per cell]
2 Sr 0.3333 0.6667 0.5987 [2 per cell]
3 Ga 0.0000 0.0000 0.5000 [1 per cell]
4 Hg 0.1744 0.3488 0.2761 [6 per cell]
5 Pb 0.3333 0.6667 0.9735 [2 per cell]

DFT formation energy   -0.2851 eV/atom